# 1
## GaBi (PBE-GGA)

Data for a geometry-optimized GaBi structure.

Cell: 7.0423 7.0990 9.5376 Å, 90.00 90.00 90.00°
Sites, in units of the cell vectors:
Ga1 0.0597 0.1547 0.0826
Ga2 0.1115 0.3069 0.7284
Ga3 0.3885 0.6931 0.2284
Ga4 0.4403 0.8453 0.5826
Ga5 0.5597 0.3453 0.9174
Ga6 0.6115 0.1931 0.2716
Ga7 0.8885 0.8069 0.7716
Ga8 0.9403 0.6547 0.4174
Bi1 0.2004 0.5143 0.9910
Bi2 0.2433 0.0441 0.3386
Bi3 0.2567 0.9559 0.8386
Bi4 0.2996 0.4857 0.4910
Bi5 0.7004 0.9857 0.0090
Bi6 0.7433 0.4559 0.6614
Bi7 0.7567 0.5441 0.1614
Bi8 0.7996 0.0143 0.5090

Values from the calculation:
The size of the total moment comes out at 0.0 μB per formula unit. As for the calculated volume: 29.80 Å³/atom. The calculation puts the density of states at the Fermi level at 0.39 states/eV/f.u. As for the formation energy: 0.232 eV/f.u.

***

# 2
## Ga3Bi (PBE-GGA)

Data for a geometry-optimized Ga3Bi structure.

Cell: 3.3604 9.7642 5.6833 Å, 90.00 90.00 90.00°
Sites, in units of the cell vectors:
Ga1 0.0000 0.0000 0.0000
Ga2 0.0000 0.2757 0.5708
Ga3 0.0000 0.7243 0.5708
Ga4 0.5000 0.2243 0.0708
Ga5 0.5000 0.5000 0.5000
Ga6 0.5000 0.7757 0.0708
Bi1 0.0000 0.5000 0.0217
Bi2 0.5000 0.0000 0.5217

Values from the calculation:
The size of the total moment comes out at 0.0 μB per formula unit. As for the calculated volume: 23.31 Å³/atom. The calculation puts the density of states at the Fermi level at 1.77 states/eV/f.u. As for the formation energy: 0.428 eV/f.u.

***

# 3
## GaBi (PBE-GGA)

Data for a geometry-optimized GaBi structure.

Cell: 6.4576 6.4576 6.4576 Å, 90.00 90.00 90.00°
Sites, in units of the cell vectors:
Ga1 0.0000 0.0000 0.0000
Ga2 0.0000 0.5000 0.5000
Ga3 0.5000 0.0000 0.5000
Ga4 0.5000 0.5000 0.0000
Bi1 0.2500 0.2500 0.7500
Bi2 0.2500 0.7500 0.2500
Bi3 0.7500 0.2500 0.2500
Bi4 0.7500 0.7500 0.7500

Values from the calculation:
The size of the total moment comes out at 0.0 μB per formula unit. As for the calculated volume: 33.66 Å³/atom. The calculation puts the density of states at the Fermi level at 0.51 states/eV/f.u. As for the formation energy: 0.034 eV/f.u.

***

# 4
## GaBi (PBE-GGA)

Data for a geometry-optimized GaBi structure.

Cell: 3.3816 5.1701 6.9713 Å, 82.34 76.51 71.79°
Sites, in units of the cell vectors:
Ga1 0.0900 0.2248 0.1216
Ga2 0.9100 0.7752 0.8784
Bi1 0.2917 0.2346 0.6735
Bi2 0.7083 0.7654 0.3265

Values from the calculation:
The size of the total moment comes out at 0.0 μB per formula unit. As for the calculated volume: 28.09 Å³/atom. The calculation puts the density of states at the Fermi level at 0.82 states/eV/f.u. As for the formation energy: 0.193 eV/f.u.